No. 1
# GGA-PBE Cs4NaAu2, relaxed
data_Cs4NaAu2
_chemical_formula_sum 'Cs12 Na3 Au6'
_symmetry_space_group_name_H-M 'R -3 m'
_symmetry_Int_Tables_number 166
_symmetry_space_group_name_Hall '-R 3 2"'
_cell_length_a 6.3116
_cell_length_b 6.3116
_cell_length_c 33.1969
_cell_angle_alpha 90.00
_cell_angle_beta 90.00
_cell_angle_gamma 120.00
loop_
_atom_site_label
_atom_site_type_symbol
_atom_site_fract_x
_atom_site_fract_y
_atom_site_fract_z
Cs1 Cs 0.0000 0.0000 0.1088
Cs2 Cs 0.0000 0.0000 0.2926
Na1 Na 0.0000 0.0000 0.5000
Au1 Au 0.0000 0.0000 0.4061
# Offset from the most stable computed form (meV per atom): 0
# Crystal system: trigonal
# Spin magnetization (μB per formula unit): 0.09
# DOS(E_F) (states/eV per cell): 16.96
# DFT formation energy (meV per atom): -178

No. 2
# GGA-PBE Pr4ThZn5, relaxed
data_Pr4ThZn5
_chemical_formula_sum 'Pr4 Th1 Zn5'
_symmetry_space_group_name_H-M 'P 4/m m m'
_symmetry_Int_Tables_number 123
_symmetry_space_group_name_Hall '-P 4 2'
_cell_length_a 3.706
_cell_length_b 3.706
_cell_length_c 18.506
_cell_angle_alpha 90.00
_cell_angle_beta 90.00
_cell_angle_gamma 90.00
loop_
_atom_site_label
_atom_site_type_symbol
_atom_site_fract_x
_atom_site_fract_y
_atom_site_fract_z
Pr1 Pr 0.000 0.000 0.100
Pr2 Pr 0.000 0.000 0.302
Th1 Th 0.000 0.000 0.500
Zn1 Zn 0.500 0.500 0.000
Zn2 Zn 0.500 0.500 0.200
Zn3 Zn 0.500 0.500 0.403
# Crystal system: tetragonal
# Spin magnetization (μB per formula unit): 0.00
# DOS(E_F) (states/eV per cell): 11.61
# DFT formation energy (meV per atom): -273

No. 3
# GGA-PBE AlCuH2Pd5, relaxed
data_AlCuH2Pd5
_chemical_formula_sum 'Al1 Cu1 H2 Pd5'
_symmetry_space_group_name_H-M 'P 4/m m m'
_symmetry_Int_Tables_number 123
_symmetry_space_group_name_Hall '-P 4 2'
_cell_length_a 4.002
_cell_length_b 4.002
_cell_length_c 7.358
_cell_angle_alpha 90.00
_cell_angle_beta 90.00
_cell_angle_gamma 90.00
loop_
_atom_site_label
_atom_site_type_symbol
_atom_site_fract_x
_atom_site_fract_y
_atom_site_fract_z
Al1 Al 0.000 0.000 0.000
Cu1 Cu 0.500 0.500 0.500
H1 H 0.500 0.500 0.263
Pd1 Pd 0.000 0.500 0.261
Pd2 Pd 0.500 0.500 0.000
# Crystal system: tetragonal
# Spin magnetization (μB per formula unit): 0.00
# DOS(E_F) (states/eV per cell): 6.34
# Calculated total energy (eV per atom): -4.72

No. 4
# GGA-PBE TmTiZn4, relaxed
data_TmTiZn4
_chemical_formula_sum 'Tm1 Ti1 Zn4'
_symmetry_space_group_name_H-M 'P 6/m m m'
_symmetry_Int_Tables_number 191
_symmetry_space_group_name_Hall '-P 6 2'
_cell_length_a 4.3170
_cell_length_b 4.3170
_cell_length_c 6.5073
_cell_angle_alpha 90.00
_cell_angle_beta 90.00
_cell_angle_gamma 120.00
loop_
_atom_site_label
_atom_site_type_symbol
_atom_site_fract_x
_atom_site_fract_y
_atom_site_fract_z
Tm1 Tm 0.0000 0.0000 0.0000
Ti1 Ti 0.0000 0.0000 0.5000
Zn1 Zn 0.3333 0.6667 0.2866
# Offset from the most stable computed form (meV per atom): 0
# Crystal system: hexagonal
# Spin magnetization (μB per formula unit): 0.00
# DOS(E_F) (states/eV per cell): 4.48
# DFT formation energy (meV per atom): -273

No. 5
# GGA-PBE BaNd2In, relaxed
data_BaNd2In
_chemical_formula_sum 'Ba3 Nd6 In3'
_symmetry_space_group_name_H-M 'R -3 m'
_symmetry_Int_Tables_number 166
_symmetry_space_group_name_Hall '-R 3 2"'
_cell_length_a 3.8061
_cell_length_b 3.8061
_cell_length_c 36.9143
_cell_angle_alpha 90.00
_cell_angle_beta 90.00
_cell_angle_gamma 120.00
loop_
_atom_site_label
_atom_site_type_symbol
_atom_site_fract_x
_atom_site_fract_y
_atom_site_fract_z
Ba1 Ba 0.0000 0.0000 0.0000
Nd1 Nd 0.0000 0.0000 0.1014
In1 In 0.0000 0.0000 0.5000
# Offset from the most stable computed form (meV per atom): 171
# Crystal system: trigonal
# Spin magnetization (μB per formula unit): 0.00
# DOS(E_F) (states/eV per cell): 13.64
# DFT formation energy (meV per atom): 47

No. 6
# GGA-PBE Ac5HgPb4, relaxed
data_Ac5HgPb4
_chemical_formula_sum 'Ac5 Hg1 Pb4'
_symmetry_space_group_name_H-M 'P 4/m m m'
_symmetry_Int_Tables_number 123
_symmetry_space_group_name_Hall '-P 4 2'
_cell_length_a 3.923
_cell_length_b 3.923
_cell_length_c 22.792
_cell_angle_alpha 90.00
_cell_angle_beta 90.00
_cell_angle_gamma 90.00
loop_
_atom_site_label
_atom_site_type_symbol
_atom_site_fract_x
_atom_site_fract_y
_atom_site_fract_z
Ac1 Ac 0.000 0.000 0.000
Ac2 Ac 0.000 0.000 0.204
Ac3 Ac 0.000 0.000 0.406
Hg1 Hg 0.500 0.500 0.500
Pb1 Pb 0.500 0.500 0.102
Pb2 Pb 0.500 0.500 0.305
# Offset from the most stable computed form (meV per atom): 0
# Crystal system: tetragonal
# Spin magnetization (μB per formula unit): 0.00
# DOS(E_F) (states/eV per cell): 6.55
# DFT formation energy (meV per atom): -477

For each record above, in turn, the calculated calculated volume values are 1145, 254, 118, 105, 463, 351 Å³/cell.